Computed, not measured: crystalline FeSbPtO6 at its relaxed geometry at the PBE+U level of DFT.

Summary:
- M_tot: 0.55 μB per atom
- Crystal system: trigonal
- Final energy: -6.13 eV per atom

a b c (Å): 5.193 5.193 8.787
angles (deg): 90.00 90.00 120.00
Positions (direct):
Fe  0.000  0.000  0.000
Fe  0.000  0.000  0.500
Sb  0.333  0.667  0.250
Sb  0.667  0.333  0.750
Pt  0.333  0.667  0.750
Pt  0.667  0.333  0.250
O  0.002  0.340  0.127
O  0.002  0.662  0.373
O  0.338  0.340  0.373
O  0.338  0.998  0.127
O  0.340  0.002  0.627
O  0.340  0.338  0.873
O  0.660  0.662  0.127
O  0.660  0.998  0.373
O  0.662  0.002  0.873
O  0.662  0.660  0.627
O  0.998  0.338  0.627
O  0.998  0.660  0.873